Here is a relaxed structure of PuMn2NiO8 from Alexandria via LeMat-Bulk. Energies are from GGA+U.

Total magnetic moment in μB/atom: 0.67
Total energy in eV per atom: -7.2240
D(E_F) in states/eV per cell: 8.37

abc: 5.7914 5.7914 5.7914
angles: 109.55 109.55 109.31
Last column: nearest neighbours and their distance in Å.
Fractional coordinates of all 12 atoms:
Pu 0.2500 0.7500 0.5000  4 O 1.94
Mn 0.7500 0.2500 0.5000  4 O 1.72
Mn 0.5000 0.5000 0.0000  4 O 2.02
Ni 0.0000 0.0000 0.0000  4 O 2.12
O 0.3864 0.0799 0.3065  1 Mn 1.72
O 0.2846 0.4967 0.2121  1 Pu 1.94, 1 Mn 2.02
O 0.2846 0.0726 0.7879  1 Pu 1.94, 1 Mn 2.02
O 0.7733 0.0799 0.6935  1 Mn 1.72
O 0.9274 0.7154 0.2121  1 Pu 1.94, 1 Mn 2.02
O 0.9201 0.2267 0.3065  1 Mn 1.72
O 0.9201 0.6136 0.6935  1 Mn 1.72
O 0.5033 0.7154 0.7879  1 Pu 1.94, 1 Mn 2.02